(1)
The following is a PBE-GGA calculation of HgPS2Cl after structural relaxation, from Alexandria via LeMat-Bulk.

Computed properties:
The formation energy without anion corrections is 6.0 eV per formula unit.

Lattice parameters (Å, degrees): 4.911 4.911 5.376 90.00 90.00 90.00
Space group P4/mmm (No. 123)
Unique sites:
Hg (0.000, 0.000, 0.000) [1 per cell]
P (0.000, 0.000, 0.500) [1 per cell]
S (0.000, 0.500, 0.000) [2 per cell]
Cl (0.500, 0.500, 0.500) [1 per cell]



(2)
The following is a PBE-GGA calculation of VCr3W2 after structural relaxation, from Alexandria via LeMat-Bulk.

Computed properties:
The value obtained for the formation energy is -0.2 eV per formula unit.

Lattice parameters (Å, degrees): 2.998 2.998 8.972 90.00 90.00 90.00
Space group P4/mmm (No. 123)
Unique sites:
V (0.000, 0.000, 0.000) [1 per cell]
Cr (0.500, 0.500, 0.161) [2 per cell]
Cr (0.500, 0.500, 0.500) [1 per cell]
W (0.000, 0.000, 0.329) [2 per cell]



(3)
The following is a PBE-GGA calculation of ReTcPO2 after structural relaxation, from Alexandria via LeMat-Bulk.

Computed properties:
The formation energy without anion corrections is -1.5 eV per formula unit.

Lattice parameters (Å, degrees): 3.743 3.743 5.331 90.00 90.00 90.00
Space group P4/mmm (No. 123)
Unique sites:
Re (0.000, 0.000, 0.000) [1 per cell]
Tc (0.500, 0.500, 0.500) [1 per cell]
P (0.000, 0.000, 0.500) [1 per cell]
O (0.000, 0.500, 0.000) [2 per cell]



(4)
The following is a PBE-GGA calculation of NdPuU2P4 after structural relaxation, from Alexandria via LeMat-Bulk.

Computed properties:
The value obtained for the formation energy is -9.1 eV per formula unit.

Lattice parameters (Å, degrees): 6.883 3.979 7.024 90.00 109.14 90.00
Space group P2/m (No. 10)
Unique sites:
Nd (0.000, 0.000, 0.000) [1 per cell]
Pu (0.500, 0.500, 0.000) [1 per cell]
U (0.000, 0.500, 0.500) [1 per cell]
U (0.500, 0.000, 0.500) [1 per cell]
P (0.252, 0.000, 0.741) [2 per cell]
P (0.259, 0.500, 0.265) [2 per cell]